An optimized crystal structure of NpZnSnSb, computed with PBE-GGA.

Lattice parameters (Å, degrees): 4.2719 4.2719 10.4226 90.00 90.00 90.00
With the nearest neighbours (Å) after each atom.
Space group I-4m2 (No. 119)
Symmetry-distinct sites (fractional):
Np (0.0000, 0.0000, 0.0000) [2 per cell]  4 Sb 3.02, 4 Sn 3.37, 4 Zn 3.37
Zn (0.0000, 0.5000, 0.7500) [2 per cell]  4 Sn 3.02, 4 Sb 3.37, 4 Np 3.37
Sn (0.0000, 0.5000, 0.2500) [2 per cell]  4 Zn 3.02, 4 Sb 3.37, 4 Np 3.37
Sb (0.0000, 0.0000, 0.5000) [2 per cell]  4 Np 3.02, 4 Sn 3.37, 4 Zn 3.37

Calculated values
As for the volume: 190 Å³/cell. As for the uncorrected formation energy: -49.5 meV per atom. The calculation puts the electronic total energy at -5.634 eV per atom.